SrFeMo2 | GGA-PBE | optimized geometry

a = 3.082 Å, b = 4.604 Å, c = 5.160 Å
α = 90.00°, β = 90.00°, γ = 90.00°
Space group Pmmm (No. 47)
Unique sites:
Sr: 0.000 0.000 0.000
Fe: 0.500 0.500 0.000
Mo: 0.000 0.500 0.500
Mo: 0.500 0.000 0.500

Summary:
The calculation puts the energy above the lowest structure with this stoichiometry at 462 meV/atom. For the formation enthalpy at 0 K, the calculation gives 1072 meV per atom. The value obtained for the raw total energy is -6.880 eV/atom. For the density of states at the Fermi level, the calculation gives 5.3 states/eV/cell.